(1)
Here is a relaxed structure of Cu2PdSe6 from the Alexandria database. Energies are from GGA-PBE.

## Properties
Energy ... -34.72 eV per formula unit

Unit cell a=6.1139 b=8.0956 c=8.0956 alpha=90.58 beta=79.67 gamma=79.67
Closest atoms and distances in Å follow each position.
Fractional coordinates of all 18 atoms:
Cu: 0.1898 0.2538 0.4771  5 Se 2.42-2.54
Cu: 0.6898 0.4771 0.2538  5 Se 2.42-2.54
Cu: 0.3102 0.5229 0.7462  5 Se 2.42-2.54
Cu: 0.8102 0.7462 0.5229  5 Se 2.42-2.54
Se: 0.6932 0.6679 0.0227  1 Cu 2.44, 1 Se 2.45, 1 Pd 2.48
Se: 0.1932 0.0227 0.6679  1 Cu 2.44, 1 Se 2.45, 1 Pd 2.48
Se: 0.1997 0.0213 0.2771  1 Se 2.45, 1 Cu 2.46, 1 Pd 2.51
Se: 0.6997 0.2771 0.0213  1 Se 2.45, 1 Cu 2.46, 1 Pd 2.51
Se: 0.3068 0.3321 0.9773  1 Cu 2.44, 1 Se 2.45, 1 Pd 2.48
Se: 0.4453 0.6632 0.4959  3 Cu 2.42-2.54, 1 Se 2.61
Se: 0.9453 0.4959 0.6632  3 Cu 2.42-2.54, 1 Se 2.61
Se: 0.5547 0.3368 0.5041  3 Cu 2.42-2.54, 1 Se 2.61
Se: 0.0547 0.5041 0.3368  3 Cu 2.42-2.54, 1 Se 2.61
Se: 0.8003 0.9788 0.7229  1 Se 2.45, 1 Cu 2.46, 1 Pd 2.51
Se: 0.8068 0.9773 0.3321  1 Cu 2.44, 1 Se 2.45, 1 Pd 2.48
Se: 0.3003 0.7229 0.9788  1 Se 2.45, 1 Cu 2.46, 1 Pd 2.51
Pd: 0.7500 0.9629 0.0371  4 Se 2.48-2.51
Pd: 0.2500 0.0371 0.9629  4 Se 2.48-2.51

(2)
Here is a relaxed structure of Cu4PdSe8 from the Alexandria database. Energies are from GGA-PBE.

## Properties
Energy ... -50.38 eV per formula unit

Unit cell a=8.3882 b=8.3882 c=6.5784 alpha=88.90 beta=119.20 gamma=129.24
Closest atoms and distances in Å follow each position.
Fractional coordinates of all 13 atoms:
Se: 0.2910 0.4302 0.7212  2 Cu 2.36, 1 Pd 2.59
Se: 0.2070 0.0510 0.2580  3 Cu 2.36-2.43
Se: 0.6986 0.0752 0.2518  2 Cu 2.46, 1 Pd 2.56
Se: 0.1766 0.5532 0.2518  2 Cu 2.46, 1 Pd 2.56
Se: 0.7930 0.9490 0.7420  3 Cu 2.36-2.43
Se: 0.8234 0.4468 0.7482  2 Cu 2.46, 1 Pd 2.56
Se: 0.7090 0.5698 0.2788  2 Cu 2.36, 1 Pd 2.59
Se: 0.3014 0.9248 0.7482  2 Cu 2.46, 1 Pd 2.56
Cu: 0.2513 0.2513 0.0000  4 Se 2.36
Cu: 0.7562 0.1652 0.9214  5 Se 2.43-2.46
Cu: 0.2438 0.8348 0.0786  5 Se 2.43-2.46
Cu: 0.7487 0.7487 0.0000  4 Se 2.36
Pd: 0.0000 0.5000 0.5000  6 Se 2.56-2.59

(3)
Here is a relaxed structure of CuPd2Se4 from the Alexandria database. Energies are from GGA-PBE.

## Properties
Energy ... -30.20 eV per formula unit

Unit cell a=7.4698 b=7.4689 c=12.9440 alpha=106.75 beta=90.00 gamma=120.00
Closest atoms and distances in Å follow each position.
Fractional coordinates of all 28 atoms:
Cu: 0.4380 0.3758 0.8124  4 Se 2.44
Cu: 0.5620 0.6242 0.1876  4 Se 2.44
Cu: 0.9377 0.3758 0.3124  4 Se 2.44
Cu: 0.0623 0.6242 0.6876  4 Se 2.44
Se: 0.1375 0.7752 0.3792  1 Cu 2.44, 3 Pd 2.56
Se: 0.6378 0.2417 0.8791  1 Cu 2.44, 3 Pd 2.55-2.56
Se: 0.3624 0.2248 0.1208  1 Cu 2.44, 3 Pd 2.56
Se: 0.6294 0.7587 0.3878  1 Cu 2.44, 3 Pd 2.55-2.56
Se: 0.1377 0.2417 0.3791  1 Cu 2.44, 3 Pd 2.55-2.56
Se: 0.3622 0.7583 0.1209  1 Cu 2.44, 3 Pd 2.55-2.56
Se: 0.6376 0.7752 0.8792  1 Cu 2.44, 3 Pd 2.56
Se: 0.3962 0.7583 0.6209  1 Cu 2.44, 3 Pd 2.55-2.56
Se: 0.6038 0.2417 0.3791  1 Cu 2.44, 3 Pd 2.55-2.56
Se: 0.8623 0.7583 0.6209  1 Cu 2.44, 3 Pd 2.55-2.56
Se: 0.8625 0.2248 0.6208  1 Cu 2.44, 3 Pd 2.56
Se: 0.1040 0.2417 0.8791  1 Cu 2.44, 3 Pd 2.55-2.56
Se: 0.8960 0.7583 0.1209  1 Cu 2.44, 3 Pd 2.55-2.56
Se: 0.8706 0.2413 0.1122  1 Cu 2.44, 3 Pd 2.55-2.56
Se: 0.3706 0.2413 0.6122  1 Cu 2.44, 3 Pd 2.55-2.56
Se: 0.1294 0.7587 0.8878  1 Cu 2.44, 3 Pd 2.55-2.56
Pd: 0.5000 0.0000 0.5000  6 Se 2.55-2.56
Pd: 0.0000 0.0000 0.0000  6 Se 2.55-2.56
Pd: 0.5000 0.0000 0.0000  6 Se 2.55-2.56
Pd: 0.0000 0.5000 0.0000  6 Se 2.56
Pd: 0.2500 0.0000 0.2500  6 Se 2.55-2.56
Pd: 0.7500 0.0000 0.7500  6 Se 2.55-2.56
Pd: 0.0000 0.0000 0.5000  6 Se 2.55-2.56
Pd: 0.5000 0.5000 0.5000  6 Se 2.56

| no. | D(E_F) (states/eV/cell) | formation energy without anion corrections (eV/atom) |
| --- | --- | --- |
| 1 | 6.8 | -0.048 |
| 2 | 4.9 | -0.071 |
| 3 | 13.0 | -0.254 |